# TaFe3Te (PBE-GGA, relaxed)
data_TaFe3Te
_space_group_name_H-M_alt 'P m -3 m'
_space_group_IT_number 221
_space_group_name_Hall '-P 4 2 3'
_cell_length_a 4.6154
_cell_length_b 4.6154
_cell_length_c 4.6154
_cell_angle_alpha 90.00
_cell_angle_beta 90.00
_cell_angle_gamma 90.00
loop_
_atom_site_label
_atom_site_type_symbol
_atom_site_fract_x
_atom_site_fract_y
_atom_site_fract_z
Ta1 Ta 0.0000 0.0000 0.0000
Fe1 Fe 0.0000 0.0000 0.5000
Te1 Te 0.5000 0.5000 0.5000
# magnetic moment: 1.02 μB per atom
# crystal system: cubic
# VASP energy: -6.713 eV per atom
# V: 98 Å³/f.u.